Compound: Sm2Dy3Tl3
Source: Alexandria
Functional: PBE
Structure: optimized geometry

Lattice parameters (Å, degrees): 4.4816 4.9505 10.8530 103.18 101.92 90.00
With the nearest neighbours (Å) after each atom.
Fractional coordinates of all 8 atoms:
Sm (0.7391, 0.2391, 0.4781)  2 Tl 3.25, 4 Sm 3.37, 2 Dy 3.52
Sm (0.2609, 0.7609, 0.5219)  2 Tl 3.25, 4 Sm 3.37, 2 Dy 3.52
Dy (0.6177, 0.6177, 0.2353)  6 Tl 3.31-3.34, 2 Dy 3.47, 2 Sm 3.52
Dy (0.3823, 0.3823, 0.7647)  6 Tl 3.31-3.34, 2 Dy 3.47, 2 Sm 3.52
Dy (0.5000, 0.0000, 0.0000)  8 Tl 3.34-3.42, 4 Dy 3.47
Tl (0.1249, 0.1249, 0.2498)  2 Sm 3.25, 6 Dy 3.34-3.42, 2 Tl 3.58
Tl (0.0000, 0.5000, 0.0000)  8 Dy 3.31-3.34, 4 Tl 3.58
Tl (0.8751, 0.8751, 0.7502)  2 Sm 3.25, 6 Dy 3.34-3.42, 2 Tl 3.58

Properties
The calculation puts the raw total energy at -32.3 eV per cell. Its symmetry is No. 71. Its crystal system is orthorhombic. Its size of the total moment is 0.00 μB per cell.


Compound: SmDy3Tl2
Source: Alexandria
Functional: PBE
Structure: optimized geometry

Lattice parameters (Å, degrees): 5.3931 9.2718 9.3035 124.43 90.00 106.91
With the nearest neighbours (Å) after each atom.
Fractional coordinates of all 12 atoms:
Sm (0.8695, 0.7389, 0.9101)  5 Tl 3.26-3.56, 2 Dy 3.57
Sm (0.1305, 0.2611, 0.0899)  5 Tl 3.26-3.56, 2 Dy 3.57
Dy (0.3068, 0.6136, 0.6063)  2 Tl 3.06-3.39, 2 Dy 3.25
Dy (0.9410, 0.8819, 0.5970)  3 Tl 3.37-3.40, 6 Dy 3.48-3.63, 1 Sm 3.76
Dy (0.6164, 0.2327, 0.6895)  3 Tl 3.00-3.12
Dy (0.3836, 0.7673, 0.3105)  3 Tl 3.00-3.12
Dy (0.0590, 0.1181, 0.4030)  3 Tl 3.37-3.40, 6 Dy 3.48-3.63, 1 Sm 3.76
Dy (0.6932, 0.3864, 0.3937)  2 Tl 3.06-3.39, 2 Dy 3.25
Tl (0.5200, 0.0399, 0.8671)  1 Tl 2.95, 2 Dy 3.00-3.06, 2 Sm 3.26
Tl (0.4800, 0.9601, 0.1329)  1 Tl 2.95, 2 Dy 3.00-3.06, 2 Sm 3.26
Tl (0.7772, 0.5544, 0.1474)  5 Dy 3.12-3.45, 1 Sm 3.44
Tl (0.2228, 0.4456, 0.8526)  5 Dy 3.12-3.45, 1 Sm 3.44

Properties
As for the polymorph energy (0 for the lowest one): 0.102 eV per atom. Its symmetry is No. 12. Its crystal system is monoclinic. Its size of the total moment is 0.74 μB per cell.


Compound: Sm2Dy7Tl2
Source: Alexandria
Functional: PBE
Structure: optimized geometry

Lattice parameters (Å, degrees): 6.5438 7.6716 7.6716 101.63 75.24 75.24
With the nearest neighbours (Å) after each atom.
Fractional coordinates of all 11 atoms:
Sm (0.5000, 0.1389, 0.8611)  6 Dy 3.24-3.58, 1 Sm 3.30
Sm (0.5000, 0.8611, 0.1389)  6 Dy 3.24-3.58, 1 Sm 3.30
Dy (0.1987, 0.0634, 0.5759)  2 Sm 3.24-3.36, 2 Tl 3.36-3.63, 6 Dy 3.36-3.62
Dy (0.8013, 0.4241, 0.9366)  2 Sm 3.24-3.36, 2 Tl 3.36-3.63, 6 Dy 3.36-3.62
Dy (0.8013, 0.9366, 0.4241)  2 Sm 3.24-3.36, 2 Tl 3.36-3.63, 6 Dy 3.36-3.62
Dy (0.1987, 0.5759, 0.0634)  2 Sm 3.24-3.36, 2 Tl 3.36-3.63, 6 Dy 3.36-3.62
Dy (0.0000, 0.0000, 0.0000)  2 Tl 3.13, 4 Dy 3.36
Dy (0.5320, 0.6644, 0.6644)  3 Tl 3.23-3.39, 5 Dy 3.38-3.57, 2 Sm 3.58
Dy (0.4680, 0.3356, 0.3356)  3 Tl 3.23-3.39, 5 Dy 3.38-3.57, 2 Sm 3.58
Tl (0.9791, 0.3287, 0.3287)  6 Dy 3.13-3.39, 1 Tl 3.44
Tl (0.0209, 0.6713, 0.6713)  6 Dy 3.13-3.39, 1 Tl 3.44

Properties
The calculation puts the raw total energy at -45.7 eV per cell. Its symmetry is No. 12. Its crystal system is monoclinic. Its size of the total moment is 0.00 μB per cell.


Compound: Sm6Dy2Tl
Source: Alexandria
Functional: PBE
Structure: optimized geometry

Lattice parameters (Å, degrees): 3.4450 9.7734 11.9389 114.16 125.04 90.00
With the nearest neighbours (Å) after each atom.
Fractional coordinates of all 9 atoms:
Sm (0.1610, 0.3277, 0.3279)  5 Sm 3.19-3.44
Sm (0.8390, 0.9998, 0.6721)  5 Sm 3.19-3.44
Sm (0.8390, 0.6723, 0.6721)  5 Sm 3.19-3.44
Sm (0.5000, 0.3256, 0.0000)  5 Sm 3.19-3.44
Sm (0.1610, 0.0002, 0.3279)  5 Sm 3.19-3.44
Sm (0.5000, 0.6744, 0.0000)  5 Sm 3.19-3.44
Dy (0.6661, 0.6664, 0.3328)  2 Dy 3.44, 12 Sm 3.70-3.72
Dy (0.3339, 0.3336, 0.6672)  2 Dy 3.44, 12 Sm 3.70-3.72
Tl (0.0000, 0.0000, 0.0000)  2 Tl 3.44, 12 Sm 3.62-3.65

Properties
As for the polymorph energy (0 for the lowest one): 0.034 eV per atom. Its symmetry is No. 12. Its crystal system is monoclinic. Its size of the total moment is 0.00 μB per cell.


size of the total moment of number 2 (SmDy3Tl2)?
0.74 μB per cell


Copy entry 1 word for word.
Compound: Sm2Dy3Tl3
Source: Alexandria
Functional: PBE
Structure: optimized geometry

Lattice parameters (Å, degrees): 4.4816 4.9505 10.8530 103.18 101.92 90.00
With the nearest neighbours (Å) after each atom.
Fractional coordinates of all 8 atoms:
Sm (0.7391, 0.2391, 0.4781)  2 Tl 3.25, 4 Sm 3.37, 2 Dy 3.52
Sm (0.2609, 0.7609, 0.5219)  2 Tl 3.25, 4 Sm 3.37, 2 Dy 3.52
Dy (0.6177, 0.6177, 0.2353)  6 Tl 3.31-3.34, 2 Dy 3.47, 2 Sm 3.52
Dy (0.3823, 0.3823, 0.7647)  6 Tl 3.31-3.34, 2 Dy 3.47, 2 Sm 3.52
Dy (0.5000, 0.0000, 0.0000)  8 Tl 3.34-3.42, 4 Dy 3.47
Tl (0.1249, 0.1249, 0.2498)  2 Sm 3.25, 6 Dy 3.34-3.42, 2 Tl 3.58
Tl (0.0000, 0.5000, 0.0000)  8 Dy 3.31-3.34, 4 Tl 3.58
Tl (0.8751, 0.8751, 0.7502)  2 Sm 3.25, 6 Dy 3.34-3.42, 2 Tl 3.58

Properties
The calculation puts the raw total energy at -32.3 eV per cell. Its symmetry is No. 71. Its crystal system is orthorhombic. Its size of the total moment is 0.00 μB per cell.